(1)
An optimized crystal structure of Pr2ZnSbPt6. Source: Alexandria via LeMat-Bulk, functional GGA-PBE.

Its volume is 21.27 Å³ per atom. The electronic total energy is -5.83 eV/atom.

Lattice parameters (Å, degrees): 6.770 6.839 6.838 47.28 81.34 100.00
Fractional coordinates of all 10 atoms:
Pt  0.758  0.266  0.999
Pt  0.242  0.734  0.001
Pt  0.415  0.255  0.841
Pt  0.585  0.745  0.159
Pt  0.757  0.757  0.507
Pt  0.243  0.243  0.493
Sb  0.000  0.000  0.000
Pr  0.224  0.762  0.537
Pr  0.776  0.238  0.463
Zn  0.500  0.500  0.000


(2)
An optimized crystal structure of Pr2ZnSb3Pt4. Source: Alexandria via LeMat-Bulk, functional GGA-PBE.

Its volume is 22.00 Å³ per atom. The electronic total energy is -5.59 eV/atom.

Lattice parameters (Å, degrees): 4.541 4.541 10.669 90.00 90.00 90.00
Fractional coordinates of all 10 atoms:
Pt  0.500  0.500  0.000
Pt  0.000  0.500  0.377
Pt  0.000  0.000  0.000
Pt  0.500  0.000  0.623
Sb  0.000  0.500  0.135
Sb  0.500  0.000  0.865
Sb  0.000  0.000  0.500
Pr  0.500  0.000  0.244
Pr  0.000  0.500  0.756
Zn  0.500  0.500  0.500


(3)
An optimized crystal structure of Pr2Zn3SbPt4. Source: Alexandria via LeMat-Bulk, functional GGA-PBE.

Its volume is 20.17 Å³ per atom. The electronic total energy is -4.94 eV/atom.

Lattice parameters (Å, degrees): 4.314 4.314 10.835 90.00 90.00 90.00
Fractional coordinates of all 10 atoms:
Zn  0.000  0.500  0.128
Zn  0.000  0.000  0.500
Zn  0.500  0.000  0.872
Pr  0.500  0.000  0.240
Pr  0.000  0.500  0.760
Sb  0.500  0.500  0.500
Pt  0.500  0.500  0.000
Pt  0.500  0.000  0.643
Pt  0.000  0.500  0.357
Pt  0.000  0.000  0.000


(4)
An optimized crystal structure of PrScPt. Source: Alexandria via LeMat-Bulk, functional GGA-PBE.

The calculation puts the energy above the most stable polymorph in this dataset at 200 meV per atom. Its volume is 26.81 Å³ per atom. The formation energy is -0.70 eV/atom.

Lattice parameters (Å, degrees): 4.845 4.845 4.845 60.00 60.00 60.00
Fractional coordinates of all 3 atoms:
Sc  0.000  0.000  0.000
Pr  0.500  0.500  0.500
Pt  0.250  0.250  0.250


(5)
An optimized crystal structure of Pr2ScPt. Source: Alexandria via LeMat-Bulk, functional GGA-PBE.

Its volume is 31.69 Å³ per atom. The formation energy is -0.11 eV/atom.

Lattice parameters (Å, degrees): 3.733 3.733 10.722 79.97 79.97 60.00
Fractional coordinates of all 4 atoms:
Pr  0.105  0.105  0.685
Pr  0.895  0.895  0.315
Sc  0.000  0.000  0.000
Pt  0.500  0.500  0.500


(6)
An optimized crystal structure of PrScPt. Source: Alexandria via LeMat-Bulk, functional GGA-PBE.

The calculation puts the energy above the most stable polymorph in this dataset at 0 meV per atom. Its volume is 24.69 Å³ per atom. The formation energy is -0.90 eV/atom.

Lattice parameters (Å, degrees): 4.624 4.624 6.929 89.74 89.76 89.97
Fractional coordinates of all 6 atoms:
Sc  0.814  0.366  0.920
Sc  0.313  0.867  0.920
Pr  0.813  0.866  0.547
Pr  0.314  0.367  0.292
Pt  0.811  0.864  0.132
Pt  0.316  0.369  0.707


(7)
An optimized crystal structure of Pr3ScPt2. Source: Alexandria via LeMat-Bulk, functional GGA-PBE.

Its volume is 26.80 Å³ per atom. The formation energy is -0.74 eV/atom.

Lattice parameters (Å, degrees): 4.609 4.709 8.120 107.07 106.55 89.94
Fractional coordinates of all 6 atoms:
Pr  0.500  0.500  0.000
Pr  0.186  0.685  0.370
Pr  0.814  0.315  0.630
Sc  0.000  0.000  0.000
Pt  0.376  0.875  0.753
Pt  0.624  0.125  0.247


(8)
An optimized crystal structure of PrScPt. Source: Alexandria via LeMat-Bulk, functional GGA-PBE.

The calculation puts the energy above the most stable polymorph in this dataset at 123 meV per atom. Its volume is 25.96 Å³ per atom. The formation energy is -0.78 eV/atom.

Lattice parameters (Å, degrees): 5.314 7.886 7.886 77.64 78.16 78.16
Fractional coordinates of all 12 atoms:
Pr  0.782  0.827  0.577
Pr  0.218  0.673  0.923
Pr  0.782  0.327  0.077
Pr  0.218  0.173  0.423
Pt  0.134  0.443  0.693
Pt  0.866  0.557  0.307
Pt  0.866  0.057  0.807
Pt  0.134  0.943  0.193
Sc  0.327  0.616  0.366
Sc  0.327  0.116  0.866
Sc  0.673  0.384  0.634
Sc  0.673  0.884  0.134


(9)
An optimized crystal structure of PrSc2Pt2. Source: Alexandria via LeMat-Bulk, functional GGA-PBE.

Its volume is 22.83 Å³ per atom. The formation energy is -1.01 eV/atom.

Lattice parameters (Å, degrees): 4.433 4.433 6.599 109.63 109.63 90.00
Fractional coordinates of all 5 atoms:
Pr  0.000  0.000  0.000
Sc  0.250  0.750  0.500
Sc  0.750  0.250  0.500
Pt  0.384  0.384  0.768
Pt  0.616  0.616  0.232


(10)
An optimized crystal structure of PrScPt. Source: Alexandria via LeMat-Bulk, functional GGA-PBE.

The calculation puts the energy above the most stable polymorph in this dataset at 216 meV per atom. Its volume is 25.36 Å³ per atom. The formation energy is -0.68 eV/atom.

Lattice parameters (Å, degrees): 4.303 4.518 4.518 120.00 90.00 90.00
Fractional coordinates of all 3 atoms:
Pt  0.098  0.000  0.000
Sc  0.205  0.333  0.667
Pr  0.697  0.667  0.333


(11)
An optimized crystal structure of PrScSi2Pt2. Source: Alexandria via LeMat-Bulk, functional GGA-PBE.

Its volume is 19.04 Å³ per atom. The electronic total energy is -6.82 eV/atom.

Lattice parameters (Å, degrees): 4.304 4.304 7.123 90.00 90.00 120.00
Fractional coordinates of all 6 atoms:
Pr  0.000  0.000  0.000
Pt  0.333  0.667  0.304
Pt  0.667  0.333  0.696
Si  0.667  0.333  0.295
Si  0.333  0.667  0.705
Sc  0.000  0.000  0.500


(12)
An optimized crystal structure of Pr2ScSi3Pt12. Source: Alexandria via LeMat-Bulk, functional GGA-PBE.

Its volume is 20.08 Å³ per atom. The electronic total energy is -6.38 eV/atom.

Lattice parameters (Å, degrees): 7.718 7.718 7.718 65.12 65.12 65.12
Fractional coordinates of all 18 atoms:
Sc  0.000  0.000  0.000
Si  0.000  0.000  0.500
Si  0.500  0.000  0.000
Si  0.000  0.500  0.000
Pt  0.864  0.384  0.864
Pt  0.136  0.136  0.616
Pt  0.350  0.350  0.900
Pt  0.616  0.136  0.136
Pt  0.650  0.100  0.650
Pt  0.900  0.350  0.350
Pt  0.650  0.650  0.100
Pt  0.136  0.616  0.136
Pt  0.350  0.900  0.350
Pt  0.100  0.650  0.650
Pt  0.864  0.864  0.384
Pt  0.384  0.864  0.864
Pr  0.396  0.396  0.396
Pr  0.604  0.604  0.604